Record 1
## HgAs2Ir (PBE)

Data for a geometry-optimized HgAs2Ir structure.

The density of states at the Fermi level comes out at 2.241 states/eV/cell. The total moment comes out at 0.00 μB/cell. The total energy is -17.6 eV per formula unit. The calculation puts the energy of formation from the pure elements at 0.23 eV per atom.

The structure belongs to space group P4mm (No. 99); the cell edges are 2.9667, 2.9667 and 8.7208 Å and the angles 90.00°, 90.00° and 90.00°. The asymmetric unit holds Hg at (0.0000, 0.0000, 0.0000), As at (0.0000, 0.0000, 0.4188), As at (0.5000, 0.5000, 0.7143) and Ir at (0.5000, 0.5000, 0.2519).

Record 2
## P3Ir2Au (PBE)

Data for a geometry-optimized P3Ir2Au structure.

The polymorph energy (0 for the lowest one) comes out at 0.139 eV per atom. The density of states at the Fermi level comes out at 4.324 states/eV/cell. The total moment comes out at 0.00 μB/cell. The total energy is -38.0 eV per formula unit. The calculation puts the energy of formation from the pure elements at -0.12 eV per atom.

The structure belongs to space group Imm2 (No. 44); the cell edges are 2.8780, 8.2270 and 7.8816 Å and the angles 90.00°, 90.00° and 90.00°. The asymmetric unit holds P at (0.0000, 0.0000, 0.0000), P at (0.0000, 0.1420, 0.3604), Ir at (0.0000, 0.2894, 0.6293) and Au at (0.0000, 0.5000, 0.1947).

Record 3
## ScGa2Tc (PBE)

Data for a geometry-optimized ScGa2Tc structure.

The polymorph energy (0 for the lowest one) comes out at 0.424 eV per atom. The density of states at the Fermi level comes out at 6.917 states/eV/cell. The total moment comes out at 0.31 μB/cell. The total energy is -22.7 eV per formula unit. The calculation puts the energy of formation from the pure elements at 0.02 eV per atom.

The structure belongs to space group Cmmm (No. 65); the cell edges are 5.4343, 9.6250 and 2.7992 Å and the angles 90.00°, 90.00° and 90.00°. The asymmetric unit holds Sc at (0.0000, 0.0000, 0.0000), Ga at (0.0000, 0.2747, 0.5000) and Tc at (0.0000, 0.5000, 0.0000).

Record 4
## RbZrAsO6 (PBE)

Data for a geometry-optimized RbZrAsO6 structure.

The formation energy (no corrections) is -1.64 eV per atom. The total moment comes out at 4.14 μB/cell. The total energy is -58.6 eV per formula unit.

The structure belongs to space group C2 (No. 5); the cell edges are 5.6551, 9.5736 and 5.8972 Å and the angles 90.00°, 91.13° and 90.00°. The asymmetric unit holds Rb at (0.0000, 0.0000, 0.0000), Zr at (0.0000, 0.6546, 0.5000), As at (0.0000, 0.3451, 0.5000), O at (0.0928, 0.4837, 0.6954), O at (0.1823, 0.2101, 0.6607) and O at (0.2322, 0.8070, 0.6622).

Record 5
## Pr2AlRu (PBE)

Data for a geometry-optimized Pr2AlRu structure.

The density of states at the Fermi level comes out at 2.992 states/eV/cell. The total moment comes out at 0.00 μB/cell. The total energy is -23.3 eV per formula unit. The calculation puts the energy of formation from the pure elements at -0.18 eV per atom.

The structure belongs to space group P4/mmm (No. 123); the cell edges are 3.6480, 3.6480 and 7.3202 Å and the angles 90.00°, 90.00° and 90.00°. The asymmetric unit holds Pr at (0.0000, 0.0000, 0.2332), Al at (0.5000, 0.5000, 0.5000) and Ru at (0.5000, 0.5000, 0.0000).

Record 6
## MgFeTc2 (PBE)

Data for a geometry-optimized MgFeTc2 structure.

The density of states at the Fermi level comes out at 8.624 states/eV/cell. The total moment comes out at 5.06 μB/cell. The total energy is -29.6 eV per formula unit. The calculation puts the energy of formation from the pure elements at 0.31 eV per atom.

The structure belongs to space group Cmmm (No. 65); the cell edges are 5.2974, 8.5160 and 2.5731 Å and the angles 90.00°, 90.00° and 90.00°. The asymmetric unit holds Mg at (0.0000, 0.0000, 0.0000), Fe at (0.0000, 0.5000, 0.0000) and Tc at (0.2500, 0.2500, 0.5000).